{"formula": "BiMo3O", "functional": "GGA+U", "state": "relaxed", "crystal_system": "cubic", "dos_at_fermi_per_ev_fu": 2.7, "polymorph_energy_kj_per_mol_atoms": 0.00, "dft_energy_ev_per_atom": -5.26, "cell": [[4.337, 0.000, 0.000], [0.000, 4.337, 0.000], [0.000, 0.000, 4.337]], "species": ["Mo", "Mo", "Mo", "Bi", "O"], "fractional_positions": [[0.000, 0.500, 0.000], [0.000, 0.000, 0.500], [0.500, 0.000, 0.000], [0.500, 0.500, 0.500], [0.000, 0.000, 0.000]]}